[1]
Dy2ThCd3, optimized geometry, DFT PBE-GGA; DFT total energy = -20.76 eV per formula unit; DFT formation energy = -1.39 eV/f.u.; D(E_F) = 0.9934 states/eV/atom
1.0
3.5928 0.0000 0.0000
0.0000 3.5928 0.0000
0.0000 0.0000 12.4215
Dy Th Cd
2 1 3
Direct
0.0000 0.0000 0.1602
0.0000 0.0000 0.8398
0.0000 0.0000 0.5000
0.5000 0.5000 0.0000
0.5000 0.5000 0.3182
0.5000 0.5000 0.6818

[2]
Dy3Th2Cd, optimized geometry, DFT PBE-GGA; DFT total energy = -30.16 eV per formula unit; DFT formation energy = -0.60 eV/f.u.; D(E_F) = 0.9353 states/eV/atom
1.0
3.5869 0.0000 0.0000
0.0000 3.5869 0.0000
0.0000 0.0000 13.9755
Dy Th Cd
3 2 1
Direct
0.0000 0.0000 0.0000
0.0000 0.0000 0.3526
0.0000 0.0000 0.6474
0.5000 0.5000 0.1792
0.5000 0.5000 0.8208
0.5000 0.5000 0.5000

[3]
Dy5Th4Cd, optimized geometry, DFT PBE-GGA; DFT total energy = -53.98 eV per formula unit; DFT formation energy = -0.37 eV/f.u.; D(E_F) = 1.1336 states/eV/atom
1.0
3.5835 0.0000 0.0000
0.0000 3.5835 0.0000
0.0000 0.0000 23.9404
Dy Th Cd
5 4 1
Direct
0.0000 0.0000 0.0000
0.0000 0.0000 0.2092
0.0000 0.0000 0.4142
0.0000 0.0000 0.5858
0.0000 0.0000 0.7908
0.5000 0.5000 0.1043
0.5000 0.5000 0.3132
0.5000 0.5000 0.6868
0.5000 0.5000 0.8957
0.5000 0.5000 0.5000

- D(E_F) of number 1 (Dy2ThCd3)?
  0.9934 states/eV/atom